# LiLaCeLu

A geometry-optimized LiLaCeLu structure (PBE, the Alexandria database).

Cell: 5.535 5.535 5.535 Å, 60.00 60.00 60.00°
Element x y z (fractional)
Lu (0.250, 0.250, 0.250)
Li (0.750, 0.750, 0.750)
Ce (0.500, 0.500, 0.500)
La (0.000, 0.000, 0.000)

Crystal system: cubic
DOS at the Fermi energy: 8.3 states/eV/f.u.
Total energy: -4.11 eV/atom
Magnetization: 0.82 μB per formula unit